{
  "formula": "BeV2CoO6",
  "functional": "PBE+U",
  "state": "relaxed",
  "spacegroup": "C2/c (15)",
  "final_energy_ev_per_cell": -143.9,
  "lattice_angstrom": [[4.524, -5.181, 0.000], [4.524, 5.181, 0.000], [-2.205, 0.000, 4.845]],
  "species": ["Be", "Be", "V", "V", "V", "V", "Co", "Co", "O", "O", "O", "O", "O", "O", "O", "O", "O", "O", "O", "O"],
  "frac_coords": [[0.169, 0.831, 0.750], [0.831, 0.169, 0.250], [0.261, 0.456, 0.335], [0.456, 0.261, 0.835], [0.544, 0.739, 0.165], [0.739, 0.544, 0.665], [0.086, 0.914, 0.250], [0.914, 0.086, 0.750], [0.045, 0.205, 0.170], [0.141, 0.655, 0.450], [0.205, 0.045, 0.670], [0.319, 0.451, 0.009], [0.345, 0.859, 0.050], [0.451, 0.319, 0.509], [0.549, 0.681, 0.491], [0.655, 0.141, 0.950], [0.681, 0.549, 0.991], [0.795, 0.955, 0.330], [0.859, 0.345, 0.550], [0.955, 0.795, 0.830]]
}